Version i
The following is a PBE-GGA calculation of an optimized crystal structure of GaAg6Au, from Alexandria via LeMat-Bulk.

Calculated values
The calculation puts the total magnetic moment at 0.0 μB per cell. As for the symmetry: P-1 (2). The calculation puts the density of states at the Fermi level at 0.292 states/eV/atom.

Unit cell a=5.138 b=5.357 c=5.426 alpha=93.49 beta=95.15 gamma=93.17
Fractional coordinates of all 8 atoms:
Ga  0.000  0.000  0.000
Ag  0.027  0.749  0.437
Ag  0.250  0.571  0.954
Ag  0.462  0.026  0.747
Ag  0.538  0.974  0.253
Ag  0.750  0.429  0.046
Ag  0.973  0.251  0.563
Au  0.500  0.500  0.500

Version ii
The following is a PBE-GGA calculation of an optimized crystal structure of GaAg6Au, from Alexandria via LeMat-Bulk.

Calculated values
The calculation puts the total magnetic moment at 0.0 μB per cell. As for the symmetry: Cmmm (65). The calculation puts the density of states at the Fermi level at 0.394 states/eV/atom.

Unit cell a=8.235 b=8.296 c=4.148 alpha=90.00 beta=90.00 gamma=90.00
Fractional coordinates of all 16 atoms:
Ga  0.000  0.000  0.000
Ga  0.500  0.500  0.000
Ag  0.000  0.249  0.500
Ag  0.000  0.751  0.500
Ag  0.247  0.000  0.500
Ag  0.250  0.250  0.000
Ag  0.250  0.750  0.000
Ag  0.253  0.500  0.500
Ag  0.500  0.251  0.500
Ag  0.500  0.749  0.500
Ag  0.747  0.500  0.500
Ag  0.750  0.250  0.000
Ag  0.750  0.750  0.000
Ag  0.753  0.000  0.500
Au  0.000  0.500  0.000
Au  0.500  0.000  0.000

Calculated relative energies: version i 66; version ii 0, given in meV per atom

Version i
The following is a PBE-GGA calculation of an optimized crystal structure of Ga2Ag6Au, from Alexandria via LeMat-Bulk.

Calculated values
The calculation puts the total magnetic moment at 0.0 μB per cell. As for the symmetry: P-6m2 (187). The calculation puts the density of states at the Fermi level at 0.246 states/eV/atom.

Unit cell a=2.956 b=2.956 c=21.270 alpha=90.00 beta=90.00 gamma=120.00
Fractional coordinates of all 9 atoms:
Ga  0.000  0.000  0.170
Ga  0.000  0.000  0.830
Ag  0.000  0.000  0.387
Ag  0.000  0.000  0.613
Ag  0.667  0.333  0.065
Ag  0.667  0.333  0.275
Ag  0.667  0.333  0.725
Ag  0.667  0.333  0.935
Au  0.667  0.333  0.500

Version ii
The following is a PBE-GGA calculation of an optimized crystal structure of Ga2Ag6Au, from Alexandria via LeMat-Bulk.

Calculated values
The calculation puts the total magnetic moment at 0.0 μB per cell. As for the symmetry: C2/c (15). The calculation puts the density of states at the Fermi level at 0.346 states/eV/atom.

Unit cell a=8.132 b=8.132 c=5.111 alpha=95.91 beta=95.91 gamma=73.55
Fractional coordinates of all 18 atoms:
Ga  0.047  0.283  0.088
Ga  0.283  0.047  0.588
Ga  0.717  0.953  0.412
Ga  0.953  0.717  0.912
Ag  0.075  0.819  0.484
Ag  0.147  0.404  0.652
Ag  0.181  0.925  0.016
Ag  0.247  0.519  0.190
Ag  0.404  0.147  0.152
Ag  0.481  0.753  0.310
Ag  0.519  0.247  0.690
Ag  0.596  0.853  0.848
Ag  0.753  0.481  0.810
Ag  0.819  0.075  0.984
Ag  0.853  0.596  0.348
Ag  0.925  0.181  0.516
Au  0.389  0.611  0.750
Au  0.611  0.389  0.250

Calculated relative energies: version i 8; version ii 0, given in meV per atom

Version i
The following is a PBE-GGA calculation of an optimized crystal structure of Ga2Ag3Au7, from Alexandria via LeMat-Bulk.

Calculated values
The calculation puts the total magnetic moment at 0.0 μB per cell. As for the symmetry: Cmmm (65). The calculation puts the density of states at the Fermi level at 0.379 states/eV/atom.

Unit cell a=10.272 b=10.272 c=4.831 alpha=90.00 beta=90.00 gamma=152.47
Fractional coordinates of all 12 atoms:
Ga  0.147  0.853  0.000
Ga  0.853  0.147  0.000
Ag  0.348  0.652  0.500
Ag  0.500  0.500  0.500
Ag  0.652  0.348  0.500
Au  0.000  0.000  0.000
Au  0.082  0.918  0.500
Au  0.279  0.721  0.000
Au  0.424  0.576  0.000
Au  0.576  0.424  0.000
Au  0.721  0.279  0.000
Au  0.918  0.082  0.500

Version ii
The following is a PBE-GGA calculation of an optimized crystal structure of Ga2Ag3Au7, from Alexandria via LeMat-Bulk.

Calculated values
The calculation puts the total magnetic moment at 0.0 μB per cell. As for the symmetry: P-1 (2). The calculation puts the density of states at the Fermi level at 0.325 states/eV/atom.

Unit cell a=5.057 b=5.302 c=9.289 alpha=85.15 beta=82.03 gamma=67.54
Fractional coordinates of all 12 atoms:
Ga  0.091  0.072  0.211
Ga  0.909  0.928  0.789
Ag  0.450  0.457  0.829
Ag  0.500  0.500  0.500
Ag  0.550  0.543  0.171
Au  0.000  0.000  0.500
Au  0.005  0.262  0.947
Au  0.037  0.512  0.343
Au  0.436  0.977  0.685
Au  0.564  0.023  0.315
Au  0.963  0.488  0.657
Au  0.995  0.738  0.053

Calculated relative energies: version i 49; version ii 0, given in meV per atom

Version i
The following is a PBE-GGA calculation of an optimized crystal structure of GaAg3Au3, from Alexandria via LeMat-Bulk.

Calculated values
The calculation puts the total magnetic moment at 0.0 μB per cell. As for the symmetry: P6_3/m (176). The calculation puts the density of states at the Fermi level at 0.327 states/eV/atom.

Unit cell a=7.706 b=7.706 c=4.828 alpha=90.00 beta=90.00 gamma=120.00
Fractional coordinates of all 14 atoms:
Ga  0.333  0.667  0.250
Ga  0.667  0.333  0.750
Ag  0.099  0.478  0.750
Ag  0.379  0.901  0.750
Ag  0.478  0.379  0.250
Ag  0.522  0.621  0.750
Ag  0.621  0.099  0.250
Ag  0.901  0.522  0.250
Au  0.059  0.248  0.250
Au  0.189  0.941  0.250
Au  0.248  0.189  0.750
Au  0.752  0.811  0.250
Au  0.811  0.059  0.750
Au  0.941  0.752  0.750

Version ii
The following is a PBE-GGA calculation of an optimized crystal structure of GaAg3Au3, from Alexandria via LeMat-Bulk.

Calculated values
The calculation puts the total magnetic moment at 0.0 μB per cell. As for the symmetry: C2/m (12). The calculation puts the density of states at the Fermi level at 0.338 states/eV/atom.

Unit cell a=5.415 b=5.415 c=9.127 alpha=95.34 beta=95.34 gamma=97.68
Fractional coordinates of all 14 atoms:
Ga  0.181  0.181  0.468
Ga  0.819  0.819  0.532
Ag  0.128  0.128  0.900
Ag  0.281  0.719  0.500
Ag  0.324  0.676  0.000
Ag  0.676  0.324  0.000
Ag  0.719  0.281  0.500
Ag  0.872  0.872  0.100
Au  0.054  0.408  0.232
Au  0.408  0.054  0.232
Au  0.411  0.411  0.723
Au  0.589  0.589  0.277
Au  0.592  0.946  0.768
Au  0.946  0.592  0.768

Calculated relative energies: version i 0; version ii 45, given in meV per atom

Version i
The following is a PBE-GGA calculation of an optimized crystal structure of GaAg2Au6, from Alexandria via LeMat-Bulk.

Calculated values
The calculation puts the total magnetic moment at 0.0 μB per cell. As for the symmetry: Immm (71). The calculation puts the density of states at the Fermi level at 0.142 states/eV/atom.

Unit cell a=7.218 b=7.218 c=7.218 alpha=146.99 beta=112.56 gamma=77.16
Fractional coordinates of all 9 atoms:
Ga  0.000  0.000  0.000
Ag  0.361  0.361  0.000
Ag  0.639  0.639  0.000
Au  0.071  0.831  0.240
Au  0.204  0.500  0.704
Au  0.408  0.169  0.240
Au  0.592  0.831  0.760
Au  0.796  0.500  0.296
Au  0.929  0.169  0.760

Version ii
The following is a PBE-GGA calculation of an optimized crystal structure of GaAg2Au6, from Alexandria via LeMat-Bulk.

Calculated values
The calculation puts the total magnetic moment at 0.0 μB per cell. As for the symmetry: Pnnm (58). The calculation puts the density of states at the Fermi level at 0.325 states/eV/atom.

Unit cell a=8.531 b=8.681 c=4.331 alpha=90.00 beta=90.00 gamma=90.00
Fractional coordinates of all 18 atoms:
Ga  0.000  0.000  0.000
Ga  0.500  0.500  0.500
Ag  0.188  0.188  0.500
Ag  0.312  0.688  0.000
Ag  0.688  0.312  0.000
Ag  0.812  0.812  0.500
Au  0.017  0.329  0.000
Au  0.143  0.857  0.500
Au  0.171  0.517  0.500
Au  0.329  0.017  0.000
Au  0.357  0.357  0.000
Au  0.483  0.829  0.500
Au  0.517  0.171  0.500
Au  0.643  0.643  0.000
Au  0.671  0.983  0.000
Au  0.829  0.483  0.500
Au  0.857  0.143  0.500
Au  0.983  0.671  0.000

Calculated relative energies: version i 57; version ii 0, given in meV per atom

Version i
The following is a PBE-GGA calculation of an optimized crystal structure of GaAg2Au2, from Alexandria via LeMat-Bulk.

Calculated values
The calculation puts the total magnetic moment at 0.0 μB per cell. As for the symmetry: P4/mbm (127). The calculation puts the density of states at the Fermi level at 0.284 states/eV/atom.

Unit cell a=6.846 b=6.846 c=4.096 alpha=90.00 beta=90.00 gamma=90.00
Fractional coordinates of all 10 atoms:
Ga  0.000  0.000  0.000
Ga  0.500  0.500  0.000
Ag  0.154  0.346  0.500
Ag  0.346  0.846  0.500
Ag  0.654  0.154  0.500
Ag  0.846  0.654  0.500
Au  0.148  0.648  0.000
Au  0.352  0.148  0.000
Au  0.648  0.852  0.000
Au  0.852  0.352  0.000

Version ii
The following is a PBE-GGA calculation of an optimized crystal structure of GaAg2Au2, from Alexandria via LeMat-Bulk.

Calculated values
The calculation puts the total magnetic moment at 0.0 μB per cell. As for the symmetry: Cmc2_1 (36). The calculation puts the density of states at the Fermi level at 0.310 states/eV/atom.

Unit cell a=7.187 b=7.187 c=5.674 alpha=90.00 beta=90.00 gamma=141.09
Fractional coordinates of all 10 atoms:
Ga  0.104  0.896  0.500
Ga  0.896  0.104  0.000
Ag  0.304  0.696  0.497
Ag  0.500  0.500  0.248
Ag  0.500  0.500  0.748
Ag  0.696  0.304  0.997
Au  0.087  0.913  0.999
Au  0.310  0.690  0.998
Au  0.690  0.310  0.498
Au  0.913  0.087  0.499

Calculated relative energies: version i 33; version ii 0, given in meV per atom